DFT (GGA+U) results for CrC3F after structural relaxation.

Cell: 3.692 3.692 3.692 Å, 90.00 90.00 90.00°
Site moments in Bohr magnetons follow the coordinates.
Atoms (fractional coordinates):
1 C 0.000 0.500 0.000  -0.16
2 C 0.000 0.000 0.500  -0.07
3 C 0.500 0.000 0.000  -0.15
4 F 0.000 0.000 0.000  -0.04
5 Cr 0.500 0.500 0.500  1.14

Values from the calculation:
DOS at the Fermi energy in states/eV per atom: 0.758
Energy above the most stable polymorph in this dataset in eV per atom: 1.207
Crystal system: cubic